Record 1
Below is La4AsRhCl2 after structural relaxation, with properties calculated at the GGA-PBE level.

Properties
Density of states at the Fermi level, states/eV/atom: 0.8680
Raw total energy, eV/cell: -46.72

abc: 4.1702 7.6768 7.3572
angles: 108.68 90.00 90.00
Closest atoms and distances in Å follow each position.
Sites, in units of the cell vectors:
As1 0.5000 0.5000 0.0000  6 La 2.99-3.04
La1 0.0000 0.7485 0.2378  2 As 2.99, 1 Rh 2.99, 3 Cl 3.07-3.12
Cl1 0.5000 0.0000 0.5000  6 La 3.07-3.09
La2 0.5000 0.2265 0.2206  2 Rh 2.86, 1 As 3.04, 3 Cl 3.09-3.20
La3 0.0000 0.2515 0.7622  2 As 2.99, 1 Rh 2.99, 3 Cl 3.07-3.12
La4 0.5000 0.7735 0.7794  2 Rh 2.86, 1 As 3.04, 3 Cl 3.09-3.20
Cl2 0.0000 0.5000 0.5000  6 La 3.12-3.20
Rh1 0.0000 0.0000 0.0000  6 La 2.86-2.99

***

Record 2
Below is MnReNi2 after structural relaxation, with properties calculated at the GGA-PBE level.

Properties
Density of states at the Fermi level, states/eV/atom: 1.4210
Energy relative to the lowest polymorph listed for this composition, kcal/mol of atoms: 0.228
Raw total energy, eV/cell: -33.12
Calculated formation energy, eV/f.u.: 0.06

abc: 4.4145 4.4145 4.4145
angles: 131.00 131.00 71.81
Closest atoms and distances in Å follow each position.
Sites, in units of the cell vectors:
Mn1 0.2500 0.7500 0.5000  8 Ni 2.56-2.59, 4 Re 2.56
Ni1 0.0001 0.0001 0.0000  4 Mn 2.56, 4 Ni 2.56, 4 Re 2.59
Re1 0.5000 0.5000 0.0000  4 Mn 2.56, 8 Ni 2.56-2.59
Ni2 0.7500 0.2500 0.5000  4 Ni 2.56, 4 Re 2.56, 4 Mn 2.59

***

Record 3
Below is Pm3ErSc3Te8 after structural relaxation, with properties calculated at the GGA-PBE level.

Properties
Density of states at the Fermi level, states/eV/atom: 0.5259
Raw total energy, eV/cell: -82.66

abc: 8.5695 8.5693 8.6409
angles: 119.73 90.00 120.00
Closest atoms and distances in Å follow each position.
Sites, in units of the cell vectors:
Te1 0.2547 0.9847 0.7395  2 Sc 2.95, 1 Er 3.10, 2 Pm 3.14
Te2 0.7455 0.4909 0.2607  2 Sc 2.95, 1 Er 3.10, 2 Pm 3.14
Sc1 0.5000 0.0000 0.5000  6 Te 2.95
Sc2 0.0000 0.5000 0.5000  6 Te 2.95
Sc3 0.5000 0.5000 0.5000  6 Te 2.95
Te3 0.7423 0.4847 0.7269  3 Sc 2.95, 3 Pm 3.14
Te4 0.2577 0.5153 0.2731  3 Sc 2.95, 3 Pm 3.14
Pm1 0.0000 0.0000 0.0000  6 Te 3.14
Pm2 0.5000 0.5000 0.0000  6 Te 3.14
Pm3 0.0000 0.5000 0.0000  6 Te 3.14
Te5 0.2545 0.5091 0.7393  2 Sc 2.95, 1 Er 3.10, 2 Pm 3.14
Te6 0.7301 0.9847 0.7395  2 Sc 2.95, 1 Er 3.10, 2 Pm 3.14
Te7 0.7453 0.0153 0.2605  2 Sc 2.95, 1 Er 3.10, 2 Pm 3.14
Te8 0.2699 0.0153 0.2605  2 Sc 2.95, 1 Er 3.10, 2 Pm 3.14
Er1 0.0000 0.0000 0.5000  6 Te 3.10

***

Record 4
Below is Hf4RhAu after structural relaxation, with properties calculated at the GGA-PBE level.

Properties
Density of states at the Fermi level, states/eV/atom: 0.4971
Energy relative to the lowest polymorph listed for this composition, kcal/mol of atoms: 0.000
Raw total energy, eV/cell: -53.67
Calculated formation energy, eV/f.u.: -3.22

abc: 3.2639 3.2639 11.1203
angles: 90.00 90.00 90.00
Closest atoms and distances in Å follow each position.
Sites, in units of the cell vectors:
Rh1 0.0000 0.0000 0.0000  8 Hf 2.83-2.84
Au1 0.5000 0.5000 0.5000  8 Hf 2.98, 4 Au 3.26
Hf1 0.5001 0.5001 0.1480  4 Rh 2.83-2.84, 4 Hf 3.07
Hf2 0.9999 0.9999 0.6696  4 Au 2.98, 8 Hf 3.07-3.26
Hf3 0.0001 0.0001 0.3304  4 Au 2.98, 8 Hf 3.07-3.26
Hf4 0.4999 0.4999 0.8520  4 Rh 2.83-2.84, 4 Hf 3.07

***

Record 5
Below is Mg14ZrGa after structural relaxation, with properties calculated at the GGA-PBE level.

Properties
Density of states at the Fermi level, states/eV/atom: 0.5068
Energy relative to the lowest polymorph listed for this composition, kcal/mol of atoms: 0.439
Raw total energy, eV/cell: -33.95
Calculated formation energy, eV/f.u.: -0.05

abc: 6.3713 6.3713 10.1000
angles: 90.00 90.00 120.00
Closest atoms and distances in Å follow each position.
Sites, in units of the cell vectors:
Mg1 0.1615 0.3230 0.7473  1 Ga 3.07, 10 Mg 3.09-3.28, 1 Zr 3.11
Mg2 0.1615 0.3230 0.2527  1 Ga 3.07, 10 Mg 3.09-3.28, 1 Zr 3.11
Mg3 0.1615 0.8385 0.2527  1 Ga 3.07, 10 Mg 3.09-3.28, 1 Zr 3.11
Zr1 0.0000 0.0000 0.0000  12 Mg 3.11-3.19
Mg4 0.1615 0.8385 0.7473  1 Ga 3.07, 10 Mg 3.09-3.28, 1 Zr 3.11
Mg5 0.4956 0.5044 0.0000  10 Mg 3.09-3.27, 2 Zr 3.19
Mg6 0.4956 0.9912 0.0000  10 Mg 3.09-3.27, 2 Zr 3.19
Mg7 0.6770 0.8385 0.2527  1 Ga 3.07, 10 Mg 3.09-3.28, 1 Zr 3.11
Mg8 0.6667 0.3333 0.2417  12 Mg 3.09-3.19
Mg9 0.0088 0.5044 0.0000  10 Mg 3.09-3.27, 2 Zr 3.19
Mg10 0.5025 0.4975 0.5000  10 Mg 3.13-3.23, 2 Ga 3.19
Mg11 0.5025 0.0049 0.5000  10 Mg 3.13-3.23, 2 Ga 3.19
Mg12 0.6770 0.8385 0.7473  1 Ga 3.07, 10 Mg 3.09-3.28, 1 Zr 3.11
Mg13 0.6667 0.3333 0.7583  12 Mg 3.09-3.19
Ga1 0.0000 0.0000 0.5000  12 Mg 3.07-3.19
Mg14 0.9951 0.4975 0.5000  10 Mg 3.13-3.23, 2 Ga 3.19

***

Record 6
Below is U4Hg after structural relaxation, with properties calculated at the GGA-PBE level.

Properties
Density of states at the Fermi level, states/eV/atom: 6.7774
Raw total energy, eV/cell: -35.97
Calculated formation energy, eV/f.u.: 9.48

abc: 5.6263 5.6263 5.6263
angles: 90.00 90.00 90.00
Closest atoms and distances in Å follow each position.
Sites, in units of the cell vectors:
U1 0.0000 0.0000 0.0000  12 U 3.98
Hg1 0.5000 0.5000 0.5000  6 U 2.81
U2 0.5000 0.0000 0.5000  2 Hg 2.81
U3 0.0000 0.5000 0.5000  2 Hg 2.81
U4 0.5000 0.5000 0.0000  2 Hg 2.81

***

Record 7
Below is Li4As2Au5 after structural relaxation, with properties calculated at the GGA-PBE level.

Properties
Density of states at the Fermi level, states/eV/atom: 0.2404
Raw total energy, eV/cell: -37.34
Calculated formation energy, eV/f.u.: -4.00

abc: 3.0853 6.9331 8.6792
angles: 98.08 90.00 90.00
Closest atoms and distances in Å follow each position.
Sites, in units of the cell vectors:
Au1 0.0000 0.5000 0.0000  4 Li 2.68, 4 Au 2.83-2.85
Au2 0.0000 0.1562 0.1411  1 As 2.65, 6 Li 2.69-2.93, 2 Au 2.83-2.89
Li1 0.5000 0.8062 0.1070  2 As 2.65, 6 Au 2.68-2.86
Li2 0.5000 0.7429 0.5719  6 Au 2.69-2.93, 4 As 2.82-2.84
Li3 0.5000 0.2571 0.4281  6 Au 2.69-2.93, 4 As 2.82-2.84
Li4 0.5000 0.1938 0.8930  2 As 2.65, 6 Au 2.68-2.86
As1 0.0000 0.0839 0.6475  2 Au 2.63-2.65, 6 Li 2.65-2.84, 1 As 2.66
As2 0.0000 0.9161 0.3525  2 Au 2.63-2.65, 6 Li 2.65-2.84, 1 As 2.66
Au3 0.0000 0.5337 0.3307  1 As 2.63, 4 Li 2.69-2.83, 2 Au 2.85-2.89
Au4 0.0000 0.8438 0.8589  1 As 2.65, 6 Li 2.69-2.93, 2 Au 2.83-2.89
Au5 0.0000 0.4663 0.6693  1 As 2.63, 4 Li 2.69-2.83, 2 Au 2.85-2.89

***

Record 8
Below is TcSn3F after structural relaxation, with properties calculated at the GGA-PBE level.

Properties
Density of states at the Fermi level, states/eV/atom: 0.6095
Energy relative to the lowest polymorph listed for this composition, kcal/mol of atoms: 14.395
Raw total energy, eV/cell: -23.34

abc: 4.8203 4.8203 4.8203
angles: 90.00 90.00 90.00
Closest atoms and distances in Å follow each position.
Sites, in units of the cell vectors:
Sn1 0.5000 0.0000 0.0000  2 F 2.41
Tc1 0.5000 0.5000 0.5000  12 Sn 3.41
Sn2 0.0000 0.0000 0.5000  2 F 2.41
Sn3 0.0000 0.5000 0.0000  2 F 2.41
F1 0.0000 0.0000 0.0000  6 Sn 2.41

***

Record 9
Below is CeAs2Au after structural relaxation, with properties calculated at the GGA-PBE level.

Properties
Density of states at the Fermi level, states/eV/atom: 1.5914
Raw total energy, eV/cell: -19.78
Calculated formation energy, eV/f.u.: -1.27

abc: 4.5351 4.5351 7.8140
angles: 73.13 73.13 60.00
Closest atoms and distances in Å follow each position.
Sites, in units of the cell vectors:
Au1 0.0000 0.0000 0.0000  2 As 2.41
Ce1 0.5000 0.5000 0.5000  6 As 2.91
As1 0.8907 0.8907 0.3280  1 Au 2.41
As2 0.1093 0.1093 0.6720  1 Au 2.41